Below is a relaxed structure of W2O2F, with properties calculated at the PBE+U level.

The total DFT energy (no corrections) is -5.287 eV/atom. As for the mass density: 10.6 Mg/m³. The total magnetization is 0.0 μB per cell.

The space group is I4/mmm (No. 139) and the conventional cell measures 3.688, 3.688 and 9.646 Å, with angles of 90.00, 90.00 and 90.00 degrees. Symmetry generates all atoms from W at (0.000, 0.500, 0.250), O at (0.000, 0.000, 0.124) and F at (0.000, 0.000, 0.500).